VASP calculation (GGA-PBE) on a relaxed structure of GaHg.

Unit cell a=7.3100 b=7.3100 c=7.3100 alpha=109.47 beta=109.47 gamma=109.47
Last column: nearest neighbours and their distance in Å.
Positions (direct):
1 Ga 0.0000 0.0000 0.7577  4 Hg 2.62-2.86, 3 Ga 2.89
2 Ga 0.0000 0.7577 0.0000  4 Hg 2.62-2.86, 3 Ga 2.89
3 Ga 0.2423 0.2423 0.2423  4 Hg 2.62-2.86, 3 Ga 2.89
4 Ga 0.7577 0.0000 0.0000  4 Hg 2.62-2.86, 3 Ga 2.89
5 Hg 0.0000 0.0000 0.3991  4 Ga 2.62-2.86
6 Hg 0.0000 0.3991 0.0000  4 Ga 2.62-2.86
7 Hg 0.3991 0.0000 0.0000  4 Ga 2.62-2.86
8 Hg 0.6009 0.6009 0.6009  4 Ga 2.62-2.86

Properties
ΔE_f in kJ/mol of formula units: 50
V in Å³/cell: 300.69
Fermi-level density of states in states/eV per atom: 0.959
Density in g cm⁻³: 5.97
Total energy in eV/atom: -1.41

VASP calculation (GGA-PBE) on a relaxed structure of BaLiCl2.

Unit cell a=5.6225 b=5.6225 c=5.6225 alpha=139.43 beta=113.35 gamma=81.02
Last column: nearest neighbours and their distance in Å.
Positions (direct):
1 Ba 0.0000 0.0000 0.0000  8 Cl 3.29-3.49, 4 Li 3.65
2 Li 0.5000 0.5000 0.0000  4 Cl 2.53
3 Cl 0.3107 0.8107 0.5000  2 Li 2.53
4 Cl 0.6893 0.1893 0.5000  2 Li 2.53

Properties
Formation energy (no corrections) in eV per atom: -1.66
V in Å³/cell: 102.94
Fermi-level density of states in states/eV per atom: 0.251
Density in g cm⁻³: 3.47
Total energy in eV/atom: -3.54
Excess energy over the best structure of this formula in the dataset in kJ/mol of atoms: 6.6

VASP calculation (GGA-PBE) on a relaxed structure of LaMn2Br.

Unit cell a=5.7776 b=5.7776 c=3.5423 alpha=90.00 beta=90.00 gamma=119.54
Last column: nearest neighbours and their distance in Å.
Positions (direct):
1 La 0.0000 0.0000 0.0000  2 Br 2.91
2 Mn 0.0000 0.5000 0.5000  2 Mn 2.91
3 Mn 0.5000 0.0000 0.5000  2 Mn 2.91
4 Br 0.5000 0.5000 0.0000  2 La 2.91

Properties
Formation energy (no corrections) in eV per atom: 0.33
V in Å³/cell: 102.87
Fermi-level density of states in states/eV per atom: 1.229
Density in g cm⁻³: 5.31
Total energy in eV/atom: -5.91
Excess energy over the best structure of this formula in the dataset in kJ/mol of atoms: 39.1

VASP calculation (GGA-PBE) on a relaxed structure of BeReW2.

Unit cell a=4.7847 b=4.7847 c=4.7847 alpha=132.79 beta=132.79 gamma=68.98
Last column: nearest neighbours and their distance in Å.
Positions (direct):
1 Be 0.0000 0.0000 0.0000  4 Re 2.71, 8 W 2.75
2 Re 0.5000 0.5000 0.0000  4 Be 2.71, 8 W 2.75
3 W 0.2500 0.7500 0.5000  4 W 2.71, 4 Re 2.75, 4 Be 2.75
4 W 0.7500 0.2500 0.5000  4 W 2.71, 4 Re 2.75, 4 Be 2.75

Properties
ΔE_f in kJ/mol of formula units: 104
V in Å³/cell: 57.90
Fermi-level density of states in states/eV per atom: 0.665
Density in g cm⁻³: 16.14
Total energy in eV/atom: -10.25

no.,spin magnetization (μB per formula unit)
1,0.0
2,0.8
3,8.2
4,0.0